PBE Nd2Zn4Co, optimized geometry; symmetry = I4/mmm; total DFT energy (no corrections) = -3.20 eV per atom; mass density = 6.5 g cm⁻³
1.0
-3.240 3.212 0.096
-1.010 -0.889 -4.360
-7.121 -3.945 0.067
Co Zn Nd
1 4 2
direct
0.000 0.000 0.000
0.843 0.843 0.314
0.157 0.157 0.686
0.000 0.500 0.000
0.500 0.000 0.000
0.642 0.642 0.717
0.358 0.358 0.283

PBE CaCo2Ir, optimized geometry; symmetry = R-3m; total DFT energy (no corrections) = -5.67 eV per atom; mass density = 9.6 g cm⁻³
1.0
-5.286 1.282 7.259
-2.904 0.590 8.573
-3.350 3.245 7.780
Ca Ir Co
1 1 2
direct
0.750 0.750 0.750
0.250 0.250 0.250
0.992 0.992 0.992
0.508 0.508 0.508

PBE Tm6HC2Se3, optimized geometry; symmetry = C2/m; total DFT energy (no corrections) = -6.04 eV per atom; mass density = 9.2 g cm⁻³
1.0
3.734 0.000 0.000
0.000 7.752 0.116
-1.867 -2.399 7.950
Tm H C Se
6 1 2 3
direct
0.336 0.878 0.672
0.678 0.557 0.355
0.664 0.122 0.328
0.016 0.251 0.033
0.984 0.749 0.967
0.322 0.443 0.645
0.500 0.000 0.000
0.834 0.668 0.669
0.166 0.332 0.331
0.500 0.500 0.000
0.837 0.165 0.674
0.163 0.835 0.326

One value per record, in order, for magnetization: 0.00 3.24 0.00 μB per cell.